a:
{
  "formula": "AcCdGa",
  "functional": "PBE",
  "state": "optimized geometry",
  "vol_a3_per_fu": 83.1,
  "space_group": "P2_1/m, No. 11",
  "total_magnetization_mub_per_atom": 0.000,
  "density_g_cm3": 8.2,
  "lattice": [[4.557, 0.000, 0.000], [0.000, 6.344, 0.000], [-2.273, 0.000, 5.747]],
  "species": ["Ac", "Ac", "Cd", "Cd", "Ga", "Ga"],
  "fractional_positions": [[0.198, 0.250, 0.396], [0.802, 0.750, 0.604], [0.500, 0.000, 0.000], [0.500, 0.500, 0.000], [0.099, 0.750, 0.194], [0.901, 0.250, 0.806]]
}

***

b:
{
  "formula": "AcCdGa",
  "functional": "PBE",
  "state": "optimized geometry",
  "vol_a3_per_fu": 91.4,
  "space_group": "F-43m, No. 216",
  "total_magnetization_mub_per_atom": 0.000,
  "density_g_cm3": 7.4,
  "lattice": [[7.150, 0.000, 0.000], [0.000, 7.150, 0.000], [0.000, 0.000, 7.150]],
  "species": ["Ac", "Ac", "Ac", "Ac", "Cd", "Cd", "Cd", "Cd", "Ga", "Ga", "Ga", "Ga"],
  "fractional_positions": [[0.000, 0.000, 0.000], [0.000, 0.500, 0.500], [0.500, 0.000, 0.500], [0.500, 0.500, 0.000], [0.000, 0.000, 0.500], [0.000, 0.500, 0.000], [0.500, 0.000, 0.000], [0.500, 0.500, 0.500], [0.250, 0.250, 0.250], [0.250, 0.750, 0.750], [0.750, 0.250, 0.750], [0.750, 0.750, 0.250]]
}

***

It comes down to a, which is 1.1 kJ/mol of atoms more stable than the next structure.

***

a:
{
  "formula": "AcCdGa",
  "functional": "PBE",
  "state": "optimized geometry",
  "vol_a3_per_fu": 82.3,
  "space_group": "C2/m, No. 12",
  "total_magnetization_mub_per_atom": 0.000,
  "density_g_cm3": 8.3,
  "lattice": [[11.495, 0.000, 0.000], [0.000, 4.924, 0.000], [-5.570, 0.000, 5.815]],
  "species": ["Ac", "Ac", "Ac", "Ac", "Cd", "Cd", "Cd", "Cd", "Ga", "Ga", "Ga", "Ga"],
  "fractional_positions": [[0.038, 0.000, 0.289], [0.462, 0.500, 0.711], [0.538, 0.500, 0.289], [0.962, 0.000, 0.711], [0.170, 0.500, 0.730], [0.330, 0.000, 0.270], [0.670, 0.000, 0.730], [0.830, 0.500, 0.270], [0.155, 0.500, 0.110], [0.345, 0.000, 0.890], [0.655, 0.000, 0.110], [0.845, 0.500, 0.890]]
}

***

b:
{
  "formula": "AcCdGa",
  "functional": "PBE",
  "state": "optimized geometry",
  "vol_a3_per_fu": 85.3,
  "space_group": "Pmc2_1, No. 26",
  "total_magnetization_mub_per_atom": 0.000,
  "density_g_cm3": 8.0,
  "lattice": [[4.162, 0.000, 0.000], [0.000, 8.507, 0.000], [0.000, 0.000, 4.820]],
  "species": ["Ac", "Ac", "Cd", "Cd", "Ga", "Ga"],
  "fractional_positions": [[0.000, 0.227, 0.000], [0.000, 0.773, 0.500], [0.500, 0.414, 0.501], [0.500, 0.586, 0.001], [0.500, 0.083, 0.501], [0.500, 0.917, 0.001]]
}

***

It comes down to a, which is 2.3 kJ/mol of atoms more stable than the next structure.